Entry from the Open Quantum Materials Database: a geometry-optimized SrCoW structure (PBE-GGA).

POSCAR file:
```
SrCoW
1.0
0.000 3.182 3.182
3.182 0.000 3.182
3.182 3.182 0.000
W Co Sr
1 1 1
direct
0.750 0.750 0.750
0.000 0.000 0.000
0.250 0.250 0.250
```

The calculation puts the excess energy over the best structure of this formula in the dataset at 0 meV/atom. The space group is F-43m, No. 216. As for the total energy: -5.83 eV/atom.

Entry from the Open Quantum Materials Database: a geometry-optimized ZrZn2B structure (PBE-GGA).

POSCAR file:
```
ZrZn2B
1.0
4.068 -0.746 1.305
1.168 0.901 4.078
0.828 -3.223 2.780
B Zn Zr
1 2 1
direct
0.500 0.500 0.500
0.750 0.750 0.750
0.000 0.000 0.000
0.250 0.250 0.250
```

The space group is F-43m, No. 216. As for the total energy: -4.11 eV/atom.

Entry from the Open Quantum Materials Database: a geometry-optimized Tb3Ni2Sn3Pd structure (PBE-GGA).

POSCAR file:
```
Tb3Ni2Sn3Pd
1.0
7.341 0.000 0.000
-3.670 6.357 0.000
0.000 0.000 4.050
Sn Ni Tb Pd
3 2 3 1
direct
0.735 0.735 0.500
0.265 0.000 0.500
0.000 0.265 0.500
0.333 0.667 0.500
0.667 0.333 0.500
0.411 0.411 0.000
0.000 0.589 0.000
0.589 0.000 0.000
0.000 0.000 0.000
```

The space group is P-62m, No. 189. As for the total energy: -5.43 eV/atom.

Entry from the Open Quantum Materials Database: a geometry-optimized YAl2Ir2 structure (PBE-GGA).

POSCAR file:
```
YAl2Ir2
1.0
-1.985 1.985 5.780
1.985 -1.985 5.780
1.985 1.985 -5.780
Y Ir Al
1 2 2
direct
0.000 0.000 0.000
0.386 0.386 0.000
0.614 0.614 0.000
0.250 0.750 0.500
0.750 0.250 0.500
```

The space group is I4/mmm, No. 139. As for the total energy: -7.21 eV/atom.

Entry from the Open Quantum Materials Database: a geometry-optimized GaTcPd2 structure (PBE-GGA).

POSCAR file:
```
GaTcPd2
1.0
0.000 3.105 3.105
3.105 0.000 3.105
3.105 3.105 0.000
Pd Tc Ga
2 1 1
direct
0.000 0.000 0.000
0.750 0.750 0.750
0.250 0.250 0.250
0.500 0.500 0.500
```

The space group is F-43m, No. 216. As for the total energy: -6.02 eV/atom.

Entry from the Open Quantum Materials Database: a geometry-optimized Pr2Y2CBr5 structure (PBE-GGA).

POSCAR file:
```
Pr2Y2CBr5
1.0
9.052 -1.967 0.000
9.052 1.967 0.000
-1.895 0.000 8.286
C Br Y Pr
1 5 2 2
direct
0.500 0.500 0.000
0.169 0.169 0.324
0.175 0.175 0.848
0.500 0.500 0.500
0.825 0.825 0.152
0.831 0.831 0.676
0.637 0.637 0.071
0.363 0.363 0.929
0.998 0.998 0.206
0.002 0.002 0.794
```

The calculation puts the excess energy over the best structure of this formula in the dataset at 0 meV/atom. The space group is C2/m, No. 12. As for the total energy: -5.44 eV/atom.

Entry from the Open Quantum Materials Database: a geometry-optimized PrTmCd structure (PBE-GGA).

POSCAR file:
```
PrTmCd
1.0
4.882 -1.336 0.095
1.935 -2.227 4.113
1.288 -4.893 -0.141
Pr Tm Cd
1 1 1
direct
0.750 0.750 0.750
0.000 0.000 0.000
0.250 0.250 0.250
```

The calculation puts the excess energy over the best structure of this formula in the dataset at 0 meV/atom. The calculation puts the formation enthalpy at 0 K at 113 kJ/mol of formula units. The space group is F-43m, No. 216. As for the total energy: -2.99 eV/atom.

Entry from the Open Quantum Materials Database: a geometry-optimized RbLaZnS3 structure (PBE-GGA).

POSCAR file:
```
RbLaZnS3
1.0
10.332 0.000 0.000
0.000 4.162 0.000
0.000 0.000 15.272
La Zn S Rb
4 4 12 4
direct
0.175 0.750 0.438
0.825 0.250 0.562
0.675 0.750 0.062
0.325 0.250 0.938
0.341 0.750 0.135
0.659 0.250 0.865
0.159 0.250 0.635
0.841 0.750 0.365
0.687 0.750 0.476
0.476 0.250 0.104
0.976 0.250 0.396
0.024 0.750 0.604
0.187 0.750 0.024
0.313 0.250 0.524
0.782 0.750 0.223
0.813 0.250 0.976
0.718 0.250 0.723
0.282 0.750 0.277
0.218 0.250 0.777
0.524 0.750 0.896
0.962 0.750 0.823
0.038 0.250 0.177
0.538 0.250 0.323
0.462 0.750 0.677
```

The space group is Pnma, No. 62. As for the total energy: -4.72 eV/atom.

Entry from the Open Quantum Materials Database: a geometry-optimized NbAuSeO structure (PBE-GGA).

POSCAR file:
```
NbAuSeO
1.0
5.566 0.000 0.059
0.000 5.225 0.000
-0.285 0.000 10.286
Se Nb O Au
4 4 4 4
direct
0.295 0.169 0.722
0.695 0.488 0.722
0.705 0.669 0.278
0.305 0.988 0.278
0.490 0.344 0.111
0.009 0.816 0.077
0.510 0.844 0.889
0.991 0.316 0.923
0.735 0.574 0.999
0.288 0.573 0.982
0.712 0.073 0.018
0.265 0.074 0.001
0.969 0.856 0.760
0.031 0.356 0.240
0.094 0.080 0.495
0.906 0.580 0.505
```

The calculation puts the excess energy over the best structure of this formula in the dataset at 69 meV/atom. The space group is P2_1, No. 4. As for the total energy: -6.30 eV/atom.

Entry from the Open Quantum Materials Database: a geometry-optimized ZrZnCuSi structure (PBE-GGA).

POSCAR file:
```
ZrZnCuSi
1.0
0.000 3.151 3.151
3.151 0.000 3.151
3.151 3.151 0.000
Zn Si Cu Zr
1 1 1 1
direct
0.500 0.500 0.500
0.000 0.000 0.000
0.750 0.750 0.750
0.250 0.250 0.250
```

The calculation puts the excess energy over the best structure of this formula in the dataset at 0 meV/atom. The space group is F-43m, No. 216. As for the total energy: -4.82 eV/atom.

Entry from the Open Quantum Materials Database: a geometry-optimized PmAsN2O structure (PBE-GGA).

POSCAR file:
```
PmAsN2O
1.0
-5.162 0.713 1.179
1.564 -4.738 -2.161
3.173 -0.643 4.802
N O As Pm
4 2 2 2
direct
0.242 0.479 0.360
0.749 0.564 0.710
0.153 0.116 0.693
0.444 0.016 0.292
0.664 0.020 0.792
0.709 0.751 0.214
0.359 0.226 0.483
0.682 0.840 0.519
0.258 0.623 0.831
0.738 0.365 0.104
```

The space group is P1, No. 1. As for the total energy: -7.00 eV/atom.

Entry from the Open Quantum Materials Database: a geometry-optimized ScUPt structure (PBE-GGA).

POSCAR file:
```
ScUPt
1.0
0.000 3.273 3.273
3.273 0.000 3.273
3.273 3.273 0.000
U Sc Pt
1 1 1
direct
0.000 0.000 0.000
0.750 0.750 0.750
0.250 0.250 0.250
```

The calculation puts the excess energy over the best structure of this formula in the dataset at 461 meV/atom. The calculation puts the formation enthalpy at 0 K at 66 kJ/mol of formula units. The space group is F-43m, No. 216. As for the total energy: -7.66 eV/atom.

Entry from the Open Quantum Materials Database: a geometry-optimized Pr2Nd3Os3 structure (PBE-GGA).

POSCAR file:
```
Pr2Nd3Os3
1.0
2.709 1.564 8.064
-2.709 1.564 8.064
0.000 -3.128 8.064
Pr Nd Os
2 3 3
direct
0.217 0.217 0.217
0.783 0.783 0.783
0.500 0.500 0.500
0.065 0.065 0.065
0.935 0.935 0.935
0.000 0.500 0.500
0.500 0.500 0.000
0.500 0.000 0.500
```

The calculation puts the formation enthalpy at 0 K at 198 kJ/mol of formula units. The space group is R-3m, No. 166. As for the total energy: -6.93 eV/atom.

Entry from the Open Quantum Materials Database: a geometry-optimized YGePd2 structure (PBE-GGA).

POSCAR file:
```
YGePd2
1.0
-1.943 -2.509 2.261
5.488 -1.620 2.918
-0.926 4.574 4.281
Pd Ge Y
4 2 2
direct
0.500 0.071 0.470
0.000 0.591 0.010
0.500 0.929 0.970
0.000 0.409 0.510
0.000 0.164 0.187
0.000 0.836 0.687
0.500 0.336 0.832
0.500 0.664 0.332
```

The space group is Pmc2_1, No. 26. As for the total energy: -5.96 eV/atom.

Entry from the Open Quantum Materials Database: a geometry-optimized MgZnOs2N4 structure (PBE-GGA).

POSCAR file:
```
MgZnOs2N4
1.0
4.533 2.888 2.017
-1.397 3.121 4.611
-0.827 -5.506 -1.396
Os N Mg Zn
2 4 1 1
direct
0.500 0.500 0.000
0.250 0.750 0.500
0.872 0.851 0.470
0.598 0.128 0.978
0.381 0.402 0.530
0.149 0.619 0.022
0.000 0.000 0.000
0.750 0.250 0.500
```

The space group is I-4, No. 82. As for the total energy: -7.11 eV/atom.

Entry from the Open Quantum Materials Database: a geometry-optimized CsReAgTe3 structure (PBE-GGA).

POSCAR file:
```
CsReAgTe3
1.0
1.843 2.351 -8.345
-5.493 -1.375 6.820
1.409 10.273 3.205
Te Re Cs Ag
6 2 2 2
direct
0.891 0.109 0.479
0.563 0.437 0.250
0.437 0.563 0.750
0.109 0.891 0.521
0.109 0.891 0.979
0.891 0.109 0.021
0.500 0.500 0.000
0.500 0.500 0.500
0.261 0.739 0.250
0.739 0.261 0.750
0.046 0.954 0.750
0.954 0.046 0.250
```

The calculation puts the excess energy over the best structure of this formula in the dataset at 117 meV/atom. The space group is Cmcm, No. 63. As for the total energy: -4.29 eV/atom.

Entry from the Open Quantum Materials Database: a geometry-optimized HfTc2 structure (PBE-GGA).

POSCAR file:
```
HfTc2
1.0
8.010 -1.476 -0.174
4.036 -1.398 6.938
2.802 -7.470 1.648
Hf Tc
2 4
direct
0.750 0.750 0.750
0.500 0.500 0.500
0.125 0.625 0.625
0.625 0.125 0.625
0.625 0.625 0.125
0.625 0.625 0.625
```

The calculation puts the excess energy over the best structure of this formula in the dataset at 3741 meV/atom. The calculation puts the formation enthalpy at 0 K at 978 kJ/mol of formula units. The space group is Fd-3m, No. 227. As for the total energy: -6.85 eV/atom.

Entry from the Open Quantum Materials Database: a geometry-optimized KGa2SnPt structure (PBE-GGA).

POSCAR file:
```
KGa2SnPt
1.0
-0.623 -5.863 3.006
-5.259 -1.727 3.628
1.563 2.635 -5.867
Sn Ga Pt K
1 2 1 1
direct
0.250 0.750 0.500
0.614 0.614 0.000
0.386 0.386 0.000
0.750 0.250 0.500
0.000 0.000 0.000
```

The space group is I-4m2, No. 119. As for the total energy: -3.70 eV/atom.

Entry from the Open Quantum Materials Database: a geometry-optimized Li4GaCu2Si structure (PBE-GGA).

POSCAR file:
```
Li4GaCu2Si
1.0
-1.896 -2.872 -2.364
-1.127 -2.086 3.437
-5.006 3.105 0.243
Li Cu Si Ga
4 2 1 1
direct
0.000 0.000 0.500
0.500 0.500 0.000
0.500 0.000 0.255
0.000 0.500 0.745
0.500 0.000 0.735
0.000 0.500 0.265
0.500 0.500 0.500
0.000 0.000 0.000
```

The space group is P-4m2, No. 115. As for the total energy: -3.21 eV/atom.

Entry from the Open Quantum Materials Database: a geometry-optimized DyFeCo structure (PBE-GGA).

POSCAR file:
```
DyFeCo
1.0
2.538 -2.438 -3.651
2.656 -2.342 3.631
-5.063 -0.289 -0.031
Fe Dy Co
2 2 2
direct
0.500 0.000 0.000
0.500 0.500 0.500
0.124 0.374 0.750
0.876 0.626 0.250
0.000 0.000 0.000
0.500 0.000 0.500
```

The calculation puts the formation enthalpy at 0 K at -47 kJ/mol of formula units. The space group is Imma, No. 74. As for the total energy: -6.83 eV/atom.